# 1
Computed, not measured: a relaxed ZnRh2Cl crystal at the PBE level of DFT.

Calculated values
- Energy relative to the elements, uncorrected: 334 meV per atom
- Energy relative to the lowest polymorph listed for this composition: 361.5 meV per atom

CIF file:
```
data_ZnRh2Cl
_chemical_formula_sum 'Zn4 Rh8 Cl4'
_cell_length_a 4.0489
_cell_length_b 4.0489
_cell_length_c 16.2287
_cell_angle_alpha 90.00
_cell_angle_beta 90.00
_cell_angle_gamma 90.00
_symmetry_space_group_name_H-M 'I -4 2 d'
_symmetry_Int_Tables_number 122
_symmetry_space_group_name_Hall 'I -4 2bw'
loop_
_atom_site_label
_atom_site_type_symbol
_atom_site_fract_x
_atom_site_fract_y
_atom_site_fract_z
_atom_site_occupancy
Zn1 Zn 0.0000 0.0000 0.0000 1
Rh1 Rh 0.2212 0.2500 0.6250 1
Cl1 Cl 0.0000 0.0000 0.5000 1
```

***

# 2
Computed, not measured: a relaxed Zn2RhCl crystal at the PBE level of DFT.

Calculated values
- Energy relative to the elements, uncorrected: -384 meV per atom
- Energy relative to the lowest polymorph listed for this composition: 0.0 meV per atom

CIF file:
```
data_Zn2RhCl
_chemical_formula_sum 'Zn2 Rh1 Cl1'
_cell_length_a 3.0860
_cell_length_b 3.1315
_cell_length_c 7.0285
_cell_angle_alpha 90.00
_cell_angle_beta 90.00
_cell_angle_gamma 90.00
_symmetry_space_group_name_H-M 'P m m m'
_symmetry_Int_Tables_number 47
loop_
_symmetry_equiv_pos_as_xyz
'x,y,z'
'-x,-y,-z'
'-x,-y,z'
'x,y,-z'
'x,-y,-z'
'-x,y,z'
'-x,y,-z'
'x,-y,z'
loop_
_atom_site_label
_atom_site_type_symbol
_atom_site_fract_x
_atom_site_fract_y
_atom_site_fract_z
_atom_site_occupancy
Zn1 Zn 0.0000 0.0000 0.2044 1
Rh1 Rh 0.5000 0.5000 0.0000 1
Cl1 Cl 0.5000 0.0000 0.5000 1
```

***

# 3
Computed, not measured: a relaxed ZnRhCl2 crystal at the PBE level of DFT.

Calculated values
- Energy relative to the elements, uncorrected: -116 meV per atom
- Energy relative to the lowest polymorph listed for this composition: 244.4 meV per atom

CIF file:
```
data_ZnRhCl2
_chemical_formula_sum 'Zn1 Rh1 Cl2'
_cell_length_a 3.1234
_cell_length_b 3.1234
_cell_length_c 7.9256
_cell_angle_alpha 90.00
_cell_angle_beta 90.00
_cell_angle_gamma 90.00
_symmetry_space_group_name_H-M 'P 4 m m'
_symmetry_Int_Tables_number 99
loop_
_symmetry_equiv_pos_as_xyz
'x,y,z'
'-y,x,z'
'-x,-y,z'
'y,-x,z'
'-x,y,z'
'y,x,z'
'x,-y,z'
'-y,-x,z'
loop_
_atom_site_label
_atom_site_type_symbol
_atom_site_fract_x
_atom_site_fract_y
_atom_site_fract_z
_atom_site_occupancy
Zn1 Zn 0.0000 0.0000 0.0000 1
Rh1 Rh 0.5000 0.5000 0.7930 1
Cl1 Cl 0.0000 0.0000 0.6053 1
Cl2 Cl 0.5000 0.5000 0.1831 1
```